Record 1
# Be2CdInRh, optimized geometry, DFT GGA-PBE
data_Be2CdInRh
_space_group_name_H-M_alt 'P 4/m m m'
_space_group_IT_number 123
_space_group_name_Hall '-P 4 2'
_cell_length_a 4.415
_cell_length_b 4.415
_cell_length_c 5.077
_cell_angle_alpha 90.00
_cell_angle_beta 90.00
_cell_angle_gamma 90.00
loop_
_atom_site_label
_atom_site_type_symbol
_atom_site_fract_x
_atom_site_fract_y
_atom_site_fract_z
Be1 Be 0.000 0.500 0.000
Cd1 Cd 0.000 0.000 0.500
In1 In 0.500 0.500 0.000
Rh1 Rh 0.500 0.500 0.500
# ΔH_f (0 K), eV per atom: 1.001
# Calculated volume, Å³/atom: 19.80
# Total moment, μB/f.u.: 0.0

---

Record 2
# ZrTc2OsC, optimized geometry, DFT GGA-PBE
data_ZrTc2OsC
_space_group_name_H-M_alt 'P 4/m m m'
_space_group_IT_number 123
_space_group_name_Hall '-P 4 2'
_cell_length_a 4.158
_cell_length_b 4.158
_cell_length_c 4.113
_cell_angle_alpha 90.00
_cell_angle_beta 90.00
_cell_angle_gamma 90.00
loop_
_atom_site_label
_atom_site_type_symbol
_atom_site_fract_x
_atom_site_fract_y
_atom_site_fract_z
Zr1 Zr 0.000 0.000 0.000
Tc1 Tc 0.000 0.500 0.500
Os1 Os 0.500 0.500 0.000
C1 C 0.500 0.500 0.500
# ΔH_f (0 K), eV per atom: -0.163
# Calculated volume, Å³/atom: 14.22
# Total moment, μB/f.u.: 0.0

---

Record 3
# Ce2Tm3PuS6, optimized geometry, DFT GGA-PBE
data_Ce2Tm3PuS6
_space_group_name_H-M_alt 'C 1 2/m 1'
_space_group_IT_number 12
_space_group_name_Hall '-C 2y'
_cell_length_a 17.192
_cell_length_b 3.892
_cell_length_c 7.918
_cell_angle_alpha 90.00
_cell_angle_beta 104.46
_cell_angle_gamma 90.00
loop_
_atom_site_label
_atom_site_type_symbol
_atom_site_fract_x
_atom_site_fract_y
_atom_site_fract_z
Ce1 Ce 0.167 0.000 0.334
Tm1 Tm 0.000 0.500 0.500
Tm2 Tm 0.167 0.000 0.834
Pu1 Pu 0.000 0.500 0.000
S1 S 0.004 0.000 0.745
S2 S 0.162 0.500 0.594
S3 S 0.169 0.500 0.073
# Calculated volume, Å³/atom: 21.38
# Total moment, μB/f.u.: 7.6
# Raw formation energy, kJ/mol of atoms: -190

---

Record 4
# Tb3NdTe4, optimized geometry, DFT GGA-PBE
data_Tb3NdTe4
_space_group_name_H-M_alt 'C m m m'
_space_group_IT_number 65
_space_group_name_Hall '-C 2 2'
_cell_length_a 8.928
_cell_length_b 12.460
_cell_length_c 4.344
_cell_angle_alpha 90.00
_cell_angle_beta 90.00
_cell_angle_gamma 90.00
loop_
_atom_site_label
_atom_site_type_symbol
_atom_site_fract_x
_atom_site_fract_y
_atom_site_fract_z
Tb1 Tb 0.000 0.000 0.000
Tb2 Tb 0.250 0.250 0.500
Nd1 Nd 0.000 0.500 0.000
Te1 Te 0.000 0.247 0.000
Te2 Te 0.243 0.000 0.500
# Calculated volume, Å³/atom: 30.20
# Total moment, μB/f.u.: 0.0
# Raw formation energy, kJ/mol of atoms: -129

---

Record 5
# MnPb, optimized geometry, DFT GGA-PBE
data_MnPb
_space_group_name_H-M_alt 'P -6 m 2'
_space_group_IT_number 187
_space_group_name_Hall 'P -6 2'
_cell_length_a 3.3770
_cell_length_b 3.3770
_cell_length_c 4.4906
_cell_angle_alpha 90.00
_cell_angle_beta 90.00
_cell_angle_gamma 120.00
loop_
_atom_site_label
_atom_site_type_symbol
_atom_site_fract_x
_atom_site_fract_y
_atom_site_fract_z
Mn1 Mn 0.0000 0.0000 0.0000
Pb1 Pb 0.6667 0.3333 0.5000
# ΔH_f (0 K), eV per atom: 0.530
# Calculated volume, Å³/atom: 22.18
# Total moment, μB/f.u.: 3.8

---

Record 6
# MnRe2Se, optimized geometry, DFT GGA-PBE
data_MnRe2Se
_space_group_name_H-M_alt 'I -4 2 d'
_space_group_IT_number 122
_space_group_name_Hall 'I -4 2bw'
_cell_length_a 5.418
_cell_length_b 5.418
_cell_length_c 10.857
_cell_angle_alpha 90.00
_cell_angle_beta 90.00
_cell_angle_gamma 90.00
loop_
_atom_site_label
_atom_site_type_symbol
_atom_site_fract_x
_atom_site_fract_y
_atom_site_fract_z
Mn1 Mn 0.000 0.000 0.000
Re1 Re 0.224 0.250 0.125
Se1 Se 0.000 0.000 0.500
# Calculated volume, Å³/atom: 19.92
# Total moment, μB/f.u.: 0.0
# Raw formation energy, kJ/mol of atoms: 99

---

Record 7
# MgSnPO2, optimized geometry, DFT GGA-PBE
data_MgSnPO2
_space_group_name_H-M_alt 'P 4/m m m'
_space_group_IT_number 123
_space_group_name_Hall '-P 4 2'
_cell_length_a 3.909
_cell_length_b 3.909
_cell_length_c 5.326
_cell_angle_alpha 90.00
_cell_angle_beta 90.00
_cell_angle_gamma 90.00
loop_
_atom_site_label
_atom_site_type_symbol
_atom_site_fract_x
_atom_site_fract_y
_atom_site_fract_z
Mg1 Mg 0.000 0.000 0.000
Sn1 Sn 0.500 0.500 0.500
P1 P 0.000 0.000 0.500
O1 O 0.000 0.500 0.000
# ΔE to the lowest computed polymorph, meV per atom: 112
# Calculated volume, Å³/atom: 16.28
# Total moment, μB/f.u.: 1.9
# Raw formation energy, kJ/mol of atoms: -43

---

Record 8
# DyNi2B, optimized geometry, DFT GGA-PBE
data_DyNi2B
_space_group_name_H-M_alt 'C m c m'
_space_group_IT_number 63
_space_group_name_Hall '-C 2c 2'
_cell_length_a 3.425
_cell_length_b 9.698
_cell_length_c 6.398
_cell_angle_alpha 90.00
_cell_angle_beta 90.00
_cell_angle_gamma 90.00
loop_
_atom_site_label
_atom_site_type_symbol
_atom_site_fract_x
_atom_site_fract_y
_atom_site_fract_z
Dy1 Dy 0.000 0.056 0.250
Ni1 Ni 0.000 0.330 0.063
B1 B 0.000 0.224 0.750
# ΔH_f (0 K), eV per atom: -0.427
# Calculated volume, Å³/atom: 13.28
# Total moment, μB/f.u.: 0.0